i) DFT (GGA-PBE) results for a relaxed ThB2Ir3 crystal.

- Magnetization: 0.00 Bohr magnetons per cell
- DOS at the Fermi energy: 14.1 states/eV per cell

Geometry as CIF:
```
data_ThB2Ir3
_chemical_formula_sum 'Th3 B6 Ir9'
_cell_length_a 9.066
_cell_length_b 9.066
_cell_length_c 3.647
_cell_angle_alpha 90.00
_cell_angle_beta 90.00
_cell_angle_gamma 120.00
_space_group_name_H-M_alt 'P 1'
_space_group_IT_number 1
_space_group_name_Hall 'P 1'
loop_
_atom_site_label
_atom_site_type_symbol
_atom_site_fract_x
_atom_site_fract_y
_atom_site_fract_z
Th1 Th 0.000 0.000 0.000
Th2 Th 0.333 0.667 0.500
Th3 Th 0.667 0.333 0.500
B1 B 0.187 0.375 0.000
B2 B 0.187 0.813 0.000
B3 B 0.375 0.187 0.000
B4 B 0.625 0.813 0.000
B5 B 0.813 0.187 0.000
B6 B 0.813 0.625 0.000
Ir1 Ir 0.000 0.282 0.500
Ir2 Ir 0.000 0.500 0.000
Ir3 Ir 0.000 0.718 0.500
Ir4 Ir 0.282 0.000 0.500
Ir5 Ir 0.282 0.282 0.500
Ir6 Ir 0.500 0.000 0.000
Ir7 Ir 0.500 0.500 0.000
Ir8 Ir 0.718 0.000 0.500
Ir9 Ir 0.718 0.718 0.500
```


ii) DFT (GGA-PBE) results for a relaxed ThB2Ir3 crystal.

- Magnetization: 0.00 Bohr magnetons per cell
- DOS at the Fermi energy: 3.7 states/eV per cell

Geometry as CIF:
```
data_ThB2Ir3
_chemical_formula_sum 'Th1 B2 Ir3'
_cell_length_a 5.495
_cell_length_b 5.495
_cell_length_c 3.244
_cell_angle_alpha 90.00
_cell_angle_beta 90.00
_cell_angle_gamma 120.00
_space_group_name_H-M_alt 'P 1'
_space_group_IT_number 1
_space_group_name_Hall 'P 1'
loop_
_atom_site_label
_atom_site_type_symbol
_atom_site_fract_x
_atom_site_fract_y
_atom_site_fract_z
Th1 Th 0.000 0.000 0.000
B1 B 0.333 0.667 0.000
B2 B 0.667 0.333 0.000
Ir1 Ir 0.000 0.500 0.500
Ir2 Ir 0.500 0.000 0.500
Ir3 Ir 0.500 0.500 0.500
```


Computed stability ranking, most favorable first: ii), i)